Entry 1:
K2LiNdBr6 | PBE | relaxed

a b c (Å): 7.907 7.907 7.907
angles (deg): 60.00 60.00 60.00
Fractional positions:
Br  0.257  0.257  0.743
Br  0.257  0.743  0.743
K  0.750  0.750  0.750
K  0.250  0.250  0.250
Nd  0.000  0.000  0.000
Br  0.743  0.257  0.743
Br  0.743  0.743  0.257
Li  0.500  0.500  0.500
Br  0.257  0.743  0.257
Br  0.743  0.257  0.257

Calculated values
- Excess energy over the best structure of this formula in the dataset: 37.3 meV/atom
- VASP energy: -3.6183 eV/atom
- Symmetry: No. 225
- Size of the total moment: 0.0000 μB/atom

Entry 2:
NaTbZr | PBE | relaxed

a b c (Å): 3.361 3.361 15.769
angles (deg): 90.00 90.00 90.00
Fractional positions:
Na  0.500  0.000  0.402
Tb  0.500  0.000  0.786
Tb  0.000  0.500  0.214
Na  0.000  0.500  0.598
Zr  0.500  0.000  0.069
Zr  0.000  0.500  0.931

Calculated values
- VASP energy: -4.7402 eV/atom
- E_form: 0.277 eV per formula unit
- Symmetry: No. 129
- Size of the total moment: 0.0000 μB/atom

Entry 3:
CsAc4S6 | PBE | relaxed

a b c (Å): 4.454 9.117 9.117
angles (deg): 120.00 90.00 90.00
Each line ends with the local moment (μB).
Fractional positions:
S  0.000  0.930  0.465  0.00
S  0.000  0.535  0.070  0.00
S  0.500  0.176  0.824  0.01
Ac  0.500  0.803  0.605  0.11
Ac  0.000  0.333  0.667  0.01
Ac  0.500  0.395  0.197  0.11
Cs  0.000  0.000  0.000  0.01
S  0.000  0.535  0.465  0.00
S  0.500  0.648  0.824  0.01
Ac  0.500  0.803  0.197  0.11
S  0.500  0.176  0.352  0.01

Calculated values
- VASP energy: -5.5610 eV/atom
- Symmetry: No. 187
- Size of the total moment: 0.0881 μB/atom

Entry 4:
Zr4TaHg | PBE | relaxed

a b c (Å): 5.711 5.711 5.711
angles (deg): 60.00 60.00 60.00
Fractional positions:
Ta  0.000  0.000  0.000
Zr  0.373  0.373  0.373
Zr  0.373  0.881  0.373
Zr  0.373  0.373  0.881
Zr  0.881  0.373  0.373
Hg  0.750  0.750  0.750

Calculated values
- VASP energy: -7.3031 eV/atom
- E_form: 2.529 eV per formula unit
- Symmetry: No. 216
- Size of the total moment: 0.0000 μB/atom

Entry 5:
Pm3SmOs | PBE | relaxed

a b c (Å): 5.093 10.110 11.657
angles (deg): 90.00 90.00 90.00
Fractional positions:
Pm  0.750  0.604  0.701
Sm  0.250  0.705  0.513
Pm  0.750  0.104  0.799
Sm  0.750  0.295  0.487
Pm  0.250  0.343  0.681
Pm  0.750  0.922  0.575
Pm  0.750  0.157  0.181
Pm  0.250  0.843  0.819
Pm  0.250  0.078  0.425
Pm  0.750  0.422  0.925
Pm  0.250  0.896  0.201
Os  0.250  0.553  0.833
Pm  0.750  0.657  0.319
Pm  0.250  0.396  0.299
Pm  0.250  0.578  0.075
Os  0.250  0.053  0.667
Sm  0.250  0.205  0.987
Sm  0.750  0.795  0.013
Os  0.750  0.947  0.333
Os  0.750  0.447  0.167

Calculated values
- Excess energy over the best structure of this formula in the dataset: 140.4 meV/atom
- VASP energy: -5.9942 eV/atom
- E_form: 0.230 eV per formula unit
- Symmetry: No. 62
- Size of the total moment: 0.0000 μB/atom

Entry 6:
Tm3Zr2Sc7 | PBE | relaxed

a b c (Å): 5.348 3.348 17.189
angles (deg): 90.00 92.81 90.00
Fractional positions:
Zr  0.283  0.500  0.709
Zr  0.717  0.500  0.291
Sc  0.256  0.500  0.543
Sc  0.000  0.000  0.000
Tm  0.228  0.000  0.364
Sc  0.744  0.500  0.457
Sc  0.704  0.000  0.146
Tm  0.500  0.500  0.000
Tm  0.772  0.000  0.636
Sc  0.204  0.500  0.182
Sc  0.796  0.500  0.818
Sc  0.296  0.000  0.854

Calculated values
- VASP energy: -6.1440 eV/atom
- E_form: 1.103 eV per formula unit
- Symmetry: No. 10
- Size of the total moment: 0.0000 μB/atom